Crystalline LiAcCdBi at its relaxed geometry, computed with PBE.

- Fermi-level density of states: 3.16 states/eV/f.u.
- Magnetization: 0.000 μB/atom
- E_form: -400.2 meV/atom

Cell lengths 5.561, 5.561, 5.561 Å; angles 60.00, 60.00, 60.00 degrees
Element x y z (fractional)
Li 0.000 0.000 0.000
Ac 0.500 0.500 0.500
Cd 0.750 0.750 0.750
Bi 0.250 0.250 0.250

---

Crystalline AcLuCdBi at its relaxed geometry, computed with PBE.

- Fermi-level density of states: 3.92 states/eV/f.u.
- Magnetization: 0.000 μB/atom
- E_form: -367.9 meV/atom

Cell lengths 5.607, 5.607, 5.607 Å; angles 60.00, 60.00, 60.00 degrees
Element x y z (fractional)
Ac 0.000 0.000 0.000
Lu 0.500 0.500 0.500
Cd 0.750 0.750 0.750
Bi 0.250 0.250 0.250

---

Crystalline AcMgCdBi at its relaxed geometry, computed with PBE.

- Fermi-level density of states: 3.30 states/eV/f.u.
- Magnetization: 0.000 μB/atom
- E_form: -298.1 meV/atom

Cell lengths 5.571, 5.571, 5.571 Å; angles 60.00, 60.00, 60.00 degrees
Element x y z (fractional)
Ac 0.000 0.000 0.000
Mg 0.500 0.500 0.500
Cd 0.750 0.750 0.750
Bi 0.250 0.250 0.250

---

Crystalline AcMgCdBi3 at its relaxed geometry, computed with PBE.

- Fermi-level density of states: 1.97 states/eV/f.u.
- Magnetization: 0.000 μB/atom
- E_form: -372.5 meV/atom

Cell lengths 6.723, 4.901, 11.945 Å; angles 90.00, 98.01, 90.00 degrees
Element x y z (fractional)
Ac 0.207 0.250 0.321
Ac 0.793 0.750 0.679
Mg 0.349 0.750 0.909
Mg 0.651 0.250 0.091
Cd 0.148 0.250 0.631
Cd 0.852 0.750 0.369
Bi 0.064 0.250 0.872
Bi 0.298 0.750 0.534
Bi 0.423 0.750 0.165
Bi 0.577 0.250 0.835
Bi 0.702 0.250 0.466
Bi 0.936 0.750 0.128

---

Crystalline Ac4CdBi2N2 at its relaxed geometry, computed with PBE.

- Fermi-level density of states: 4.67 states/eV/f.u.
- Magnetization: 0.000 μB/atom
- Raw formation energy: -726 kJ/mol of formula units

Cell lengths 9.674, 9.674, 8.326 Å; angles 112.91, 112.91, 24.25 degrees
Element x y z (fractional)
Ac 0.059 0.059 0.242
Ac 0.280 0.280 0.339
Ac 0.720 0.720 0.661
Ac 0.941 0.941 0.758
Cd 0.500 0.500 0.500
Bi 0.377 0.377 0.023
Bi 0.623 0.623 0.977
N 0.180 0.180 0.472
N 0.820 0.820 0.528

---

Crystalline AcCdBiN at its relaxed geometry, computed with PBE.

- Fermi-level density of states: 0.96 states/eV/f.u.
- Magnetization: 0.000 μB/atom
- Raw formation energy: -140 kJ/mol of formula units

Cell lengths 8.403, 8.403, 8.403 Å; angles 155.12, 155.12, 35.48 degrees
Element x y z (fractional)
Ac 0.000 0.000 0.000
Cd 0.673 0.673 0.000
Bi 0.316 0.316 0.000
N 0.463 0.463 0.000

---

Crystalline AcCdBiO at its relaxed geometry, computed with PBE.

- Fermi-level density of states: 0.18 states/eV/f.u.
- Magnetization: 0.000 μB/atom
- Raw formation energy: -632 kJ/mol of formula units

Cell lengths 4.510, 4.510, 10.196 Å; angles 90.00, 90.00, 90.00 degrees
Element x y z (fractional)
Ac 0.250 0.250 0.114
Ac 0.750 0.750 0.886
Cd 0.250 0.750 0.500
Cd 0.750 0.250 0.500
Bi 0.250 0.250 0.697
Bi 0.750 0.750 0.303
O 0.250 0.750 0.000
O 0.750 0.250 0.000

---

Crystalline AcCdBiO4 at its relaxed geometry, computed with PBE.

- Fermi-level density of states: 0.00 states/eV/f.u.
- Magnetization: 0.000 μB/atom
- Raw formation energy: -1233 kJ/mol of formula units

Cell lengths 7.149, 7.149, 7.149 Å; angles 124.18, 115.45, 90.49 degrees
Element x y z (fractional)
Ac 0.000 0.000 0.000
Ac 0.500 0.000 0.500
Cd 0.500 0.000 0.000
Cd 0.500 0.500 0.500
Bi 0.099 0.349 0.750
Bi 0.901 0.651 0.250
O 0.233 0.227 0.494
O 0.233 0.738 0.006
O 0.283 0.246 0.037
O 0.291 0.754 0.537
O 0.709 0.246 0.463
O 0.717 0.754 0.963
O 0.767 0.262 0.994
O 0.767 0.773 0.506